[1]
{"formula": "NdMg6Pb6", "functional": "PBE", "state": "relaxed", "relative_energy_ev_per_atom": 0.000, "magmom_total_mub_per_fu": 0.00, "mass_density_g_cm3": 7.29, "delta_e_f_mev_per_atom": -106, "spacegroup": "Immm (71)", "cell": [[-3.9500, 2.7973, 4.0352], [-1.1330, -4.2741, 6.7744], [3.8082, 4.5862, 5.4689]], "species": ["Nd", "Mg", "Mg", "Mg", "Mg", "Mg", "Mg", "Pb", "Pb", "Pb", "Pb", "Pb", "Pb"], "frac_coords": [[0.0000, 0.0000, 0.0000], [0.0000, 0.5000, 0.0000], [0.5000, 0.5000, 0.0000], [0.0000, 0.0000, 0.5000], [0.5000, 0.0000, 0.5000], [0.5000, 0.7426, 0.2574], [0.5000, 0.2574, 0.7426], [0.3237, 0.6763, 0.6763], [0.6763, 0.3237, 0.3237], [0.0000, 0.3381, 0.6619], [0.0000, 0.6619, 0.3381], [0.3420, 0.1580, 0.1580], [0.6580, 0.8420, 0.8420]]}

---

[2]
{"formula": "Nd2MgPb3", "functional": "PBE", "state": "relaxed", "magmom_total_mub_per_fu": 0.00, "mass_density_g_cm3": 8.70, "delta_e_f_mev_per_atom": -353, "spacegroup": "P-1 (2)", "cell": [[-5.9475, -2.2315, -1.4790], [2.2779, -10.3519, -2.5950], [1.5300, 2.3505, 6.2314]], "species": ["Nd", "Nd", "Nd", "Nd", "Mg", "Mg", "Pb", "Pb", "Pb", "Pb", "Pb", "Pb"], "frac_coords": [[0.8006, 0.6036, 0.3334], [0.5907, 0.0769, 0.3481], [0.4093, 0.9231, 0.6520], [0.1994, 0.3964, 0.6666], [0.8734, 0.7413, 0.9669], [0.1266, 0.2587, 0.0331], [0.6411, 0.2614, 0.0568], [0.3589, 0.7386, 0.9432], [0.0503, 0.0604, 0.2790], [0.7023, 0.4263, 0.6864], [0.2977, 0.5737, 0.3136], [0.9497, 0.9396, 0.7210]]}

---

[3]
{"formula": "Nd5Mg2Pb5", "functional": "PBE", "state": "relaxed", "magmom_total_mub_per_fu": 0.00, "mass_density_g_cm3": 7.99, "delta_e_f_mev_per_atom": -357, "spacegroup": "C2/m (12)", "cell": [[4.7176, 0.0000, 0.0000], [-2.3588, 7.2652, -1.0073], [0.0000, -5.1262, 11.6624]], "species": ["Nd", "Nd", "Nd", "Nd", "Nd", "Mg", "Mg", "Pb", "Pb", "Pb", "Pb", "Pb"], "frac_coords": [[0.5000, 0.0000, 0.5000], [0.6491, 0.2981, 0.9913], [0.6582, 0.3164, 0.2962], [0.3418, 0.6836, 0.7038], [0.3509, 0.7019, 0.0087], [0.0899, 0.1799, 0.7655], [0.9101, 0.8201, 0.2345], [0.1226, 0.2453, 0.4471], [0.7269, 0.4539, 0.7871], [0.2731, 0.5461, 0.2129], [0.8774, 0.7547, 0.5529], [0.0000, 0.0000, 0.0000]]}

---

[4]
{"formula": "NdMgPb2", "functional": "PBE", "state": "relaxed", "magmom_total_mub_per_fu": 0.00, "mass_density_g_cm3": 7.65, "delta_e_f_mev_per_atom": -201, "spacegroup": "R3m (160)", "cell": [[4.6509, 0.0000, 0.0000], [2.3255, 4.0278, 0.0000], [2.3255, 1.3426, 6.7507]], "species": ["Nd", "Mg", "Pb", "Pb"], "frac_coords": [[0.6725, 0.6725, 0.9825], [0.4929, 0.4929, 0.5214], [0.0910, 0.0910, 0.7271], [0.2437, 0.2437, 0.2690]]}

---

[5]
{"formula": "NdMg4Pb2", "functional": "PBE", "state": "relaxed", "magmom_total_mub_per_fu": 0.00, "mass_density_g_cm3": 5.96, "delta_e_f_mev_per_atom": -204, "spacegroup": "P4_2/mnm (136)", "cell": [[4.6979, 0.0000, 0.0000], [0.0000, 8.8200, 0.0000], [0.0000, 0.0000, 8.8200]], "species": ["Nd", "Nd", "Mg", "Mg", "Mg", "Mg", "Mg", "Mg", "Mg", "Mg", "Pb", "Pb", "Pb", "Pb"], "frac_coords": [[0.5000, 0.0000, 0.0000], [0.0000, 0.5000, 0.5000], [0.0000, 0.0988, 0.3553], [0.0000, 0.9012, 0.6447], [0.5000, 0.1447, 0.5988], [0.5000, 0.8553, 0.4012], [0.5000, 0.4012, 0.8553], [0.5000, 0.5988, 0.1447], [0.0000, 0.3553, 0.0988], [0.0000, 0.6447, 0.9012], [0.0000, 0.1993, 0.8007], [0.0000, 0.8007, 0.1993], [0.5000, 0.6993, 0.6993], [0.5000, 0.3007, 0.3007]]}

---

[6]
{"formula": "Nd3Mg5Pb12", "functional": "PBE", "state": "relaxed", "magmom_total_mub_per_fu": 0.00, "mass_density_g_cm3": 6.90, "delta_e_f_mev_per_atom": 130, "spacegroup": "Ia-3d (230)", "cell": [[15.6052, 0.0000, 0.0000], [-5.2017, 14.7128, 0.0000], [-5.2017, -7.3564, 12.7416]], "species": ["Nd", "Nd", "Nd", "Nd", "Nd", "Nd", "Nd", "Nd", "Nd", "Nd", "Nd", "Nd", "Mg", "Mg", "Mg", "Mg", "Mg", "Mg", "Mg", "Mg", "Mg", "Mg", "Mg", "Mg", "Mg", "Mg", "Mg", "Mg", "Mg", "Mg", "Mg", "Mg", "Pb", "Pb", "Pb", "Pb", "Pb", "Pb", "Pb", "Pb", "Pb", "Pb", "Pb", "Pb", "Pb", "Pb", "Pb", "Pb", "Pb", "Pb", "Pb", "Pb", "Pb", "Pb", "Pb", "Pb", "Pb", "Pb", "Pb", "Pb", "Pb", "Pb", "Pb", "Pb", "Pb", "Pb", "Pb", "Pb", "Pb", "Pb", "Pb", "Pb", "Pb", "Pb", "Pb", "Pb", "Pb", "Pb", "Pb", "Pb"], "frac_coords": [[0.7500, 0.3750, 0.1250], [0.8750, 0.7500, 0.1250], [0.3750, 0.7500, 0.6250], [0.2500, 0.1250, 0.3750], [0.8750, 0.1250, 0.2500], [0.3750, 0.6250, 0.2500], [0.6250, 0.3750, 0.7500], [0.1250, 0.8750, 0.7500], [0.7500, 0.8750, 0.6250], [0.6250, 0.2500, 0.3750], [0.1250, 0.2500, 0.8750], [0.2500, 0.6250, 0.8750], [0.1250, 0.3750, 0.2500], [0.0000, 0.5000, 0.0000], [0.0000, 0.0000, 0.0000], [0.3750, 0.2500, 0.1250], [0.5000, 0.0000, 0.5000], [0.5000, 0.5000, 0.0000], [0.1250, 0.7500, 0.3750], [0.7500, 0.1250, 0.8750], [0.7500, 0.6250, 0.3750], [0.3750, 0.1250, 0.7500], [0.6250, 0.8750, 0.2500], [0.5000, 0.5000, 0.5000], [0.5000, 0.0000, 0.0000], [0.0000, 0.0000, 0.5000], [0.2500, 0.3750, 0.6250], [0.2500, 0.8750, 0.1250], [0.0000, 0.5000, 0.5000], [0.8750, 0.2500, 0.6250], [0.6250, 0.7500, 0.8750], [0.8750, 0.6250, 0.7500], [0.7226, 0.1367, 0.0616], [0.3389, 0.5616, 0.4249], [0.9384, 0.3633, 0.2774], [0.5616, 0.2226, 0.1367], [0.5860, 0.7226, 0.6611], [0.9384, 0.5751, 0.1611], [0.3389, 0.7774, 0.4140], [0.0751, 0.9140, 0.1367], [0.5751, 0.9384, 0.6611], [0.7226, 0.5860, 0.1611], [0.7774, 0.4384, 0.3633], [0.8389, 0.9249, 0.0616], [0.1367, 0.7226, 0.5616], [0.3633, 0.4249, 0.0860], [0.0860, 0.9249, 0.3633], [0.4140, 0.1367, 0.5751], [0.0860, 0.1611, 0.2226], [0.4384, 0.6611, 0.0751], [0.8389, 0.9140, 0.2774], [0.1367, 0.4140, 0.0751], [0.3633, 0.9384, 0.7774], [0.5751, 0.6367, 0.4140], [0.9249, 0.8389, 0.5616], [0.7774, 0.3389, 0.9140], [0.4249, 0.3633, 0.5860], [0.0751, 0.1611, 0.4384], [0.2226, 0.6611, 0.0860], [0.1611, 0.0860, 0.7226], [0.6367, 0.0616, 0.2226], [0.8633, 0.5860, 0.9249], [0.5616, 0.3389, 0.9249], [0.5860, 0.8633, 0.4249], [0.9140, 0.8389, 0.7774], [0.9140, 0.0751, 0.6367], [0.8633, 0.2774, 0.4384], [0.1611, 0.0751, 0.9384], [0.6367, 0.5751, 0.9140], [0.4249, 0.0616, 0.3389], [0.2774, 0.4140, 0.8389], [0.2226, 0.5616, 0.6367], [0.9249, 0.0860, 0.8633], [0.6611, 0.2226, 0.5860], [0.4384, 0.7774, 0.8633], [0.0616, 0.4249, 0.8389], [0.4140, 0.2774, 0.3389], [0.0616, 0.6367, 0.7226], [0.6611, 0.4384, 0.5751], [0.2774, 0.8633, 0.9384]]}

---

[7]
{"formula": "NdMgPb2", "functional": "PBE", "state": "relaxed", "magmom_total_mub_per_fu": 0.00, "mass_density_g_cm3": 8.69, "delta_e_f_mev_per_atom": -391, "spacegroup": "P4/mmm (123)", "cell": [[4.6073, 0.0000, 0.0000], [0.0000, 4.9167, 0.0000], [0.0000, 0.0000, 4.9167]], "species": ["Pb", "Pb", "Mg", "Nd"], "frac_coords": [[0.0000, 0.0000, 0.5000], [0.0000, 0.5000, 0.0000], [0.5000, 0.0000, 0.0000], [0.5000, 0.5000, 0.5000]]}

---

[8]
{"formula": "Nd5MgPb4", "functional": "PBE", "state": "relaxed", "magmom_total_mub_per_fu": 0.32, "mass_density_g_cm3": 7.98, "delta_e_f_mev_per_atom": -237, "spacegroup": "C2/m (12)", "cell": [[4.6596, 0.0000, 0.0000], [0.0000, 7.6779, 1.0520], [-2.3298, -0.4930, 9.0918]], "species": ["Nd", "Nd", "Nd", "Nd", "Nd", "Mg", "Pb", "Pb", "Pb", "Pb"], "frac_coords": [[0.7835, 0.6575, 0.5670], [0.8745, 0.1996, 0.7489], [0.1255, 0.8004, 0.2511], [0.5000, 0.5000, 0.0000], [0.2165, 0.3425, 0.4330], [0.5000, 0.0000, 0.0000], [0.3162, 0.9353, 0.6324], [0.9489, 0.7754, 0.8977], [0.6838, 0.0647, 0.3676], [0.0511, 0.2246, 0.1023]]}

---

[9]
{"formula": "Nd12MgPb3", "functional": "PBE", "state": "relaxed", "magmom_total_mub_per_fu": 0.00, "mass_density_g_cm3": 7.85, "delta_e_f_mev_per_atom": -254, "spacegroup": "P4/mmm (123)", "cell": [[5.0183, 0.0000, 0.0000], [0.0000, 5.0183, 0.0000], [0.0000, 0.0000, 19.9693]], "species": ["Nd", "Nd", "Nd", "Nd", "Nd", "Nd", "Nd", "Nd", "Nd", "Nd", "Nd", "Nd", "Mg", "Pb", "Pb", "Pb"], "frac_coords": [[0.5000, 0.5000, 0.0000], [0.5000, 0.5000, 0.2505], [0.5000, 0.5000, 0.5000], [0.5000, 0.5000, 0.7495], [0.5000, 0.0000, 0.1264], [0.5000, 0.0000, 0.3760], [0.5000, 0.0000, 0.6240], [0.5000, 0.0000, 0.8736], [0.0000, 0.5000, 0.1264], [0.0000, 0.5000, 0.3760], [0.0000, 0.5000, 0.6240], [0.0000, 0.5000, 0.8736], [0.0000, 0.0000, 0.0000], [0.0000, 0.0000, 0.2502], [0.0000, 0.0000, 0.5000], [0.0000, 0.0000, 0.7498]]}

---

[10]
{"formula": "Nd2MgPb2", "functional": "PBE", "state": "relaxed", "magmom_total_mub_per_fu": 0.00, "mass_density_g_cm3": 7.75, "delta_e_f_mev_per_atom": -444, "spacegroup": "Cmc2_1 (36)", "cell": [[-2.1613, -4.0859, -1.5297], [1.8484, -3.3033, 6.2116], [-6.4826, 4.6767, 4.4161]], "species": ["Nd", "Nd", "Nd", "Nd", "Mg", "Mg", "Pb", "Pb", "Pb", "Pb"], "frac_coords": [[0.9837, 0.7381, 0.9674], [0.8008, 0.4202, 0.6016], [0.1992, 0.9202, 0.3984], [0.0163, 0.2381, 0.0326], [0.3975, 0.0568, 0.7949], [0.6025, 0.5568, 0.2051], [0.4291, 0.4691, 0.8582], [0.8200, 0.9502, 0.6400], [0.1800, 0.4502, 0.3600], [0.5709, 0.9691, 0.1418]]}

---

[11]
{"formula": "NdMg2Pb3", "functional": "PBE", "state": "relaxed", "relative_energy_ev_per_atom": 0.000, "magmom_total_mub_per_fu": 0.00, "mass_density_g_cm3": 8.22, "delta_e_f_mev_per_atom": -271, "spacegroup": "Cmmm (65)", "cell": [[-3.5042, -1.0445, -2.6040], [1.1536, -4.7921, 0.3697], [-4.8763, 1.8250, 5.8301]], "species": ["Nd", "Mg", "Mg", "Pb", "Pb", "Pb"], "frac_coords": [[0.0000, 0.0000, 0.0000], [0.0000, 0.6724, 0.3449], [0.0000, 0.3276, 0.6551], [0.5000, 0.1713, 0.3425], [0.5000, 0.5000, 0.0000], [0.5000, 0.8287, 0.6575]]}

---

[12]
{"formula": "Nd2Mg16Pb", "functional": "PBE", "state": "relaxed", "magmom_total_mub_per_fu": 0.00, "mass_density_g_cm3": 3.13, "delta_e_f_mev_per_atom": -74, "spacegroup": "R3m (160)", "cell": [[7.7709, 0.0585, 0.9412], [0.8411, 7.7255, 0.9412], [0.0648, 0.0585, 7.8274]], "species": ["Nd", "Nd", "Mg", "Mg", "Mg", "Mg", "Mg", "Mg", "Mg", "Mg", "Mg", "Mg", "Mg", "Mg", "Mg", "Mg", "Mg", "Mg", "Pb"], "frac_coords": [[0.6712, 0.6712, 0.6712], [0.3273, 0.3273, 0.3273], [0.6898, 0.0012, 0.3113], [0.0012, 0.3113, 0.6898], [0.3113, 0.6898, 0.0012], [0.0012, 0.6898, 0.3113], [0.6898, 0.3113, 0.0012], [0.3113, 0.0012, 0.6898], [0.3472, 0.8414, 0.3472], [0.8414, 0.3472, 0.3472], [0.3472, 0.3472, 0.8414], [0.6470, 0.1728, 0.6470], [0.1728, 0.6470, 0.6470], [0.6470, 0.6470, 0.1728], [0.0027, 0.4958, 0.0027], [0.4958, 0.0027, 0.0027], [0.0027, 0.0027, 0.4958], [0.0951, 0.0951, 0.0951], [0.8981, 0.8981, 0.8981]]}

---

[13]
{"formula": "Nd3Mg2Pb4", "functional": "PBE", "state": "relaxed", "relative_energy_ev_per_atom": 0.000, "magmom_total_mub_per_fu": 0.00, "mass_density_g_cm3": 8.09, "delta_e_f_mev_per_atom": -418, "spacegroup": "P-1 (2)", "cell": [[-1.9599, 0.9644, -4.2744], [-6.5592, -1.3463, 2.7115], [2.9973, 7.5332, 3.0139]], "species": ["Nd", "Nd", "Nd", "Mg", "Mg", "Pb", "Pb", "Pb", "Pb"], "frac_coords": [[0.1294, 0.6121, 0.2591], [0.8706, 0.3879, 0.7409], [0.0000, 0.0000, 0.0000], [0.6700, 0.9960, 0.3381], [0.3300, 0.0040, 0.6619], [0.4855, 0.6974, 0.9711], [0.2173, 0.2539, 0.4326], [0.5145, 0.3026, 0.0289], [0.7827, 0.7461, 0.5674]]}

---

[14]
{"formula": "NdMg6Pb6", "functional": "PBE", "state": "relaxed", "relative_energy_ev_per_atom": 0.002, "magmom_total_mub_per_fu": 0.00, "mass_density_g_cm3": 7.34, "delta_e_f_mev_per_atom": -104, "spacegroup": "P6/mmm (191)", "cell": [[6.3589, -0.0010, 0.0000], [-3.1795, 5.5069, 0.0000], [0.0000, 0.0000, 9.9080]], "species": ["Nd", "Mg", "Mg", "Mg", "Mg", "Mg", "Mg", "Pb", "Pb", "Pb", "Pb", "Pb", "Pb"], "frac_coords": [[0.0000, 0.0000, 0.0000], [0.0000, 0.5000, 0.7564], [0.5000, 0.0000, 0.7564], [0.5000, 0.5000, 0.7564], [0.5000, 0.0000, 0.2436], [0.0000, 0.5000, 0.2436], [0.5000, 0.5000, 0.2436], [0.0000, 0.0000, 0.6640], [0.0000, 0.0000, 0.3360], [0.3333, 0.6667, 0.0000], [0.6667, 0.3333, 0.0000], [0.3333, 0.6667, 0.5000], [0.6667, 0.3333, 0.5000]]}

---

[15]
{"formula": "Nd2Mg2Pb3", "functional": "PBE", "state": "relaxed", "magmom_total_mub_per_fu": 0.00, "mass_density_g_cm3": 7.64, "delta_e_f_mev_per_atom": -360, "spacegroup": "C2/m (12)", "cell": [[4.6949, 0.0000, 1.0407], [2.2002, 8.3659, 1.1849], [0.1080, -0.1962, 10.6234]], "species": ["Nd", "Nd", "Nd", "Nd", "Mg", "Mg", "Mg", "Mg", "Pb", "Pb", "Pb", "Pb", "Pb", "Pb"], "frac_coords": [[0.2652, 0.1386, 0.3310], [0.7348, 0.8614, 0.6690], [0.4219, 0.2293, 0.9269], [0.5781, 0.7707, 0.0731], [0.0493, 0.2198, 0.6816], [0.9507, 0.7802, 0.3184], [0.4038, 0.5213, 0.6710], [0.5962, 0.4787, 0.3290], [0.1033, 0.9237, 0.8696], [0.8967, 0.0763, 0.1304], [0.1773, 0.4954, 0.1500], [0.8227, 0.5046, 0.8500], [0.3711, 0.7852, 0.4725], [0.6289, 0.2148, 0.5275]]}

---

[16]
{"formula": "Nd4Mg6Pb7", "functional": "PBE", "state": "relaxed", "magmom_total_mub_per_fu": 0.00, "mass_density_g_cm3": 7.64, "delta_e_f_mev_per_atom": -272, "spacegroup": "Im-3m (229)", "cell": [[-4.2731, 6.9634, 2.3417], [-4.4432, -4.1988, -5.9042], [1.1706, -5.0133, 6.7622]], "species": ["Nd", "Nd", "Nd", "Nd", "Mg", "Mg", "Mg", "Mg", "Mg", "Mg", "Pb", "Pb", "Pb", "Pb", "Pb", "Pb", "Pb"], "frac_coords": [[0.5000, 0.0000, 0.0000], [0.5000, 0.5000, 0.5000], [0.0000, 0.5000, 0.0000], [0.0000, 0.0000, 0.5000], [0.6985, 0.0000, 0.6985], [0.6985, 0.6985, 0.0000], [0.0000, 0.3015, 0.3015], [0.3015, 0.0000, 0.3015], [0.3015, 0.3015, 0.0000], [0.0000, 0.6985, 0.6985], [0.7500, 0.5000, 0.2500], [0.2500, 0.7500, 0.5000], [0.5000, 0.7500, 0.2500], [0.7500, 0.2500, 0.5000], [0.2500, 0.5000, 0.7500], [0.5000, 0.2500, 0.7500], [0.0000, 0.0000, 0.0000]]}

---

[17]
{"formula": "NdMg3Pb6", "functional": "PBE", "state": "relaxed", "magmom_total_mub_per_fu": 0.00, "mass_density_g_cm3": 8.64, "delta_e_f_mev_per_atom": -131, "spacegroup": "P2_1/m (11)", "cell": [[4.8217, 0.0000, 0.0000], [0.0000, 10.2082, -0.6792], [0.0000, -0.3023, 11.4268]], "species": ["Nd", "Nd", "Mg", "Mg", "Mg", "Mg", "Mg", "Mg", "Pb", "Pb", "Pb", "Pb", "Pb", "Pb", "Pb", "Pb", "Pb", "Pb", "Pb", "Pb"], "frac_coords": [[0.2500, 0.9382, 0.6159], [0.7500, 0.0618, 0.3841], [0.2500, 0.5553, 0.4020], [0.7500, 0.4447, 0.5980], [0.2500, 0.3433, 0.8029], [0.7500, 0.6567, 0.1971], [0.2500, 0.7511, 0.9948], [0.7500, 0.2489, 0.0052], [0.2500, 0.4578, 0.0953], [0.7500, 0.5422, 0.9047], [0.2500, 0.1597, 0.1948], [0.7500, 0.8403, 0.8052], [0.2500, 0.6217, 0.7008], [0.7500, 0.3783, 0.2992], [0.2500, 0.2679, 0.5051], [0.7500, 0.7321, 0.4949], [0.2500, 0.8323, 0.2998], [0.7500, 0.1677, 0.7002], [0.2500, 0.0633, 0.9076], [0.7500, 0.9367, 0.0924]]}

---

[18]
{"formula": "Nd4Mg3Pb", "functional": "PBE", "state": "relaxed", "magmom_total_mub_per_fu": 0.00, "mass_density_g_cm3": 6.01, "delta_e_f_mev_per_atom": -229, "spacegroup": "R-3m (166)", "cell": [[5.2767, 0.0000, 1.5576], [2.4085, 4.6950, 1.5576], [0.0424, 0.0259, 9.5729]], "species": ["Pb", "Mg", "Mg", "Mg", "Nd", "Nd", "Nd", "Nd"], "frac_coords": [[0.0000, 0.0000, 0.0000], [0.2460, 0.2460, 0.2621], [0.7540, 0.7540, 0.7379], [0.5000, 0.5000, 0.5000], [0.8746, 0.8746, 0.3763], [0.3754, 0.3754, 0.8737], [0.1254, 0.1254, 0.6237], [0.6246, 0.6246, 0.1263]]}

---

| no. | uncorrected energy (eV/atom) | density of states at the Fermi level (states/eV per cell) |
| --- | --- | --- |
| 1 | -2.920 | 8.3 |
| 2 | -4.063 | 6.1 |
| 3 | -4.154 | 8.1 |
| 4 | -3.646 | 2.6 |
| 5 | -2.856 | 4.1 |
| 6 | -3.209 | 37.3 |
| 7 | -3.836 | 1.9 |
| 8 | -4.263 | 9.4 |
| 9 | -4.625 | 21.3 |
| 10 | -4.154 | 2.1 |
| 11 | -3.452 | 2.4 |
| 12 | -2.114 | 7.9 |
| 13 | -4.010 | 3.5 |
| 14 | -2.918 | 9.3 |
| 15 | -3.767 | 8.1 |
| 16 | -3.484 | 9.9 |
| 17 | -3.311 | 11.5 |
| 18 | -3.674 | 8.9 |